1.
{
  "formula": "Th2Ga12Ag",
  "functional": "PBE",
  "state": "optimized geometry",
  "final_energy_ev_per_atom": -3.871,
  "e_form_ev_per_atom": -0.27,
  "m_tot_mub_per_fu": 0.000,
  "n_ef_per_ev_cell": 7.06,
  "sg": "P4/nbm (125)",
  "cell": [[6.259, 0.000, 0.000], [0.000, 6.259, 0.000], [0.000, 0.000, 15.376]],
  "species": ["Ag", "Th", "Ga", "Th", "Ga", "Th", "Ga", "Ga", "Ga", "Ga", "Ga", "Ga", "Ga", "Ga", "Ga", "Ga", "Ga", "Ga", "Ag", "Ga", "Ga", "Ga", "Ga", "Ga", "Ga", "Ga", "Ga", "Ga", "Th", "Ga"],
  "fractional_positions": [[0.500, 0.000, 0.000], [0.000, 0.500, 0.750], [0.251, 0.249, 0.093], [0.000, 0.500, 0.250], [0.751, 0.749, 0.907], [0.500, 0.000, 0.750], [0.249, 0.251, 0.907], [0.500, 0.500, 0.815], [0.828, 0.328, 0.571], [0.500, 0.500, 0.345], [0.749, 0.751, 0.093], [0.500, 0.500, 0.185], [0.749, 0.249, 0.907], [0.500, 0.500, 0.655], [0.251, 0.751, 0.907], [0.172, 0.328, 0.429], [0.000, 0.000, 0.655], [0.828, 0.672, 0.429], [0.000, 0.500, 0.000], [0.751, 0.251, 0.093], [0.249, 0.749, 0.093], [0.328, 0.172, 0.571], [0.172, 0.672, 0.571], [0.000, 0.000, 0.815], [0.672, 0.828, 0.571], [0.328, 0.828, 0.429], [0.000, 0.000, 0.185], [0.672, 0.172, 0.429], [0.500, 0.000, 0.250], [0.000, 0.000, 0.345]]
}

2.
{
  "formula": "Ta4MnTe",
  "functional": "PBE",
  "state": "optimized geometry",
  "final_energy_ev_per_atom": -9.356,
  "e_form_raw_ev_per_fu": 3.58,
  "m_tot_mub_per_fu": 2.946,
  "n_ef_per_ev_cell": 7.41,
  "sg": "F-43m (216)",
  "cell": [[0.000, 3.898, 3.898], [3.898, 0.000, 3.898], [3.898, 3.898, 0.000]],
  "species": ["Ta", "Te", "Mn", "Ta", "Ta", "Ta"],
  "fractional_positions": [[0.374, 0.374, 0.877], [0.750, 0.750, 0.750], [0.000, 0.000, 0.000], [0.374, 0.877, 0.374], [0.374, 0.374, 0.374], [0.877, 0.374, 0.374]]
}

Please write out number 2 again, unchanged.
{
  "formula": "Ta4MnTe",
  "functional": "PBE",
  "state": "optimized geometry",
  "final_energy_ev_per_atom": -9.356,
  "e_form_raw_ev_per_fu": 3.58,
  "m_tot_mub_per_fu": 2.946,
  "n_ef_per_ev_cell": 7.41,
  "sg": "F-43m (216)",
  "cell": [[0.000, 3.898, 3.898], [3.898, 0.000, 3.898], [3.898, 3.898, 0.000]],
  "species": ["Ta", "Te", "Mn", "Ta", "Ta", "Ta"],
  "fractional_positions": [[0.374, 0.374, 0.877], [0.750, 0.750, 0.750], [0.000, 0.000, 0.000], [0.374, 0.877, 0.374], [0.374, 0.374, 0.374], [0.877, 0.374, 0.374]]
}